No. 1
# Tm2HgPt9

Tm2HgPt9 after structural relaxation (PBE-GGA, Alexandria via LeMat-Bulk).

Cell and atoms, written as CIF:
```
data_Tm2HgPt9
_chemical_formula_sum 'Tm2 Hg1 Pt9'
_space_group_name_H-M_alt 'P 4/m m m'
_space_group_IT_number 123
_space_group_name_Hall '-P 4 2'
_cell_length_a 4.078
_cell_length_b 4.078
_cell_length_c 12.299
_cell_angle_alpha 90.00
_cell_angle_beta 90.00
_cell_angle_gamma 90.00
loop_
_atom_site_label
_atom_site_type_symbol
_atom_site_fract_x
_atom_site_fract_y
_atom_site_fract_z
_atom_site_occupancy
Tm1 Tm 0.000 0.000 0.167 1
Hg1 Hg 0.000 0.000 0.500 1
Pt1 Pt 0.000 0.500 0.000 1
Pt2 Pt 0.000 0.500 0.332 1
Pt3 Pt 0.500 0.500 0.166 1
Pt4 Pt 0.500 0.500 0.500 1
```

---

No. 2
# Tm6HgPt5

Tm6HgPt5 after structural relaxation (PBE-GGA, Alexandria via LeMat-Bulk).

Cell and atoms, written as CIF:
```
data_Tm6HgPt5
_chemical_formula_sum 'Tm12 Hg2 Pt10'
_space_group_name_H-M_alt 'I m m m'
_space_group_IT_number 71
_space_group_name_Hall '-I 2 2'
_cell_length_a 4.918
_cell_length_b 6.987
_cell_length_c 14.742
_cell_angle_alpha 90.00
_cell_angle_beta 90.00
_cell_angle_gamma 90.00
loop_
_atom_site_label
_atom_site_type_symbol
_atom_site_fract_x
_atom_site_fract_y
_atom_site_fract_z
_atom_site_occupancy
Tm1 Tm 0.000 0.238 0.000 1
Tm2 Tm 0.000 0.256 0.329 1
Hg1 Hg 0.000 0.000 0.500 1
Pt1 Pt 0.000 0.000 0.170 1
Pt2 Pt 0.000 0.500 0.160 1
Pt3 Pt 0.000 0.500 0.500 1
```

---

No. 3
# Tm3Hg2Pt

Tm3Hg2Pt after structural relaxation (PBE-GGA, Alexandria via LeMat-Bulk).

Cell and atoms, written as CIF:
```
data_Tm3Hg2Pt
_chemical_formula_sum 'Tm3 Hg2 Pt1'
_space_group_name_H-M_alt 'P 4/m m m'
_space_group_IT_number 123
_space_group_name_Hall '-P 4 2'
_cell_length_a 3.571
_cell_length_b 3.571
_cell_length_c 10.978
_cell_angle_alpha 90.00
_cell_angle_beta 90.00
_cell_angle_gamma 90.00
loop_
_atom_site_label
_atom_site_type_symbol
_atom_site_fract_x
_atom_site_fract_y
_atom_site_fract_z
_atom_site_occupancy
Tm1 Tm 0.000 0.000 0.000 1
Tm2 Tm 0.000 0.000 0.352 1
Hg1 Hg 0.500 0.500 0.170 1
Pt1 Pt 0.500 0.500 0.500 1
```

Values from the calculation:
As for the offset from the most stable computed form: 0 meV/atom.

---

No. 4
# Tm7Hg2Pt2

Tm7Hg2Pt2 after structural relaxation (PBE-GGA, Alexandria via LeMat-Bulk).

Cell and atoms, written as CIF:
```
data_Tm7Hg2Pt2
_chemical_formula_sum 'Tm14 Hg4 Pt4'
_space_group_name_H-M_alt 'C m m m'
_space_group_IT_number 65
_space_group_name_Hall '-C 2 2'
_cell_length_a 8.060
_cell_length_b 10.775
_cell_length_c 7.027
_cell_angle_alpha 90.00
_cell_angle_beta 90.00
_cell_angle_gamma 90.00
loop_
_atom_site_label
_atom_site_type_symbol
_atom_site_fract_x
_atom_site_fract_y
_atom_site_fract_z
_atom_site_occupancy
Tm1 Tm 0.000 0.000 0.000 1
Tm2 Tm 0.000 0.500 0.248 1
Tm3 Tm 0.250 0.250 0.255 1
Hg1 Hg 0.185 0.000 0.500 1
Pt1 Pt 0.000 0.287 0.000 1
```

---

No. 5
# Tm3Hg3Pt2

Tm3Hg3Pt2 after structural relaxation (PBE-GGA, Alexandria via LeMat-Bulk).

Cell and atoms, written as CIF:
```
data_Tm3Hg3Pt2
_chemical_formula_sum 'Tm3 Hg3 Pt2'
_space_group_name_H-M_alt 'P -6 2 m'
_space_group_IT_number 189
_space_group_name_Hall 'P -6 -2'
_cell_length_a 7.6568
_cell_length_b 7.6568
_cell_length_c 3.5456
_cell_angle_alpha 90.00
_cell_angle_beta 90.00
_cell_angle_gamma 120.00
loop_
_atom_site_label
_atom_site_type_symbol
_atom_site_fract_x
_atom_site_fract_y
_atom_site_fract_z
_atom_site_occupancy
Tm1 Tm 0.0000 0.4219 0.0000 1
Hg1 Hg 0.0000 0.7712 0.5000 1
Pt1 Pt 0.3333 0.6667 0.5000 1
```

---

No. 6
# Tm4HgPt3

Tm4HgPt3 after structural relaxation (PBE-GGA, Alexandria via LeMat-Bulk).

Cell and atoms, written as CIF:
```
data_Tm4HgPt3
_chemical_formula_sum 'Tm12 Hg3 Pt9'
_space_group_name_H-M_alt 'R -3 m'
_space_group_IT_number 166
_space_group_name_Hall '-R 3 2"'
_cell_length_a 4.9527
_cell_length_b 4.9527
_cell_length_c 24.2294
_cell_angle_alpha 90.00
_cell_angle_beta 90.00
_cell_angle_gamma 120.00
loop_
_atom_site_label
_atom_site_type_symbol
_atom_site_fract_x
_atom_site_fract_y
_atom_site_fract_z
_atom_site_occupancy
Tm1 Tm 0.0000 0.0000 0.1200 1
Tm2 Tm 0.0000 0.0000 0.3706 1
Hg1 Hg 0.0000 0.0000 0.5000 1
Pt1 Pt 0.0000 0.0000 0.0000 1
Pt2 Pt 0.0000 0.0000 0.2459 1
```

---

No. 7
# Tm3Hg2Pt2

Tm3Hg2Pt2 after structural relaxation (PBE-GGA, Alexandria via LeMat-Bulk).

Cell and atoms, written as CIF:
```
data_Tm3Hg2Pt2
_chemical_formula_sum 'Tm6 Hg4 Pt4'
_space_group_name_H-M_alt 'C m m m'
_space_group_IT_number 65
_space_group_name_Hall '-C 2 2'
_cell_length_a 3.917
_cell_length_b 22.451
_cell_length_c 3.643
_cell_angle_alpha 90.00
_cell_angle_beta 90.00
_cell_angle_gamma 90.00
loop_
_atom_site_label
_atom_site_type_symbol
_atom_site_fract_x
_atom_site_fract_y
_atom_site_fract_z
_atom_site_occupancy
Tm1 Tm 0.000 0.000 0.000 1
Tm2 Tm 0.000 0.168 0.000 1
Hg1 Hg 0.000 0.422 0.500 1
Pt1 Pt 0.000 0.292 0.500 1
```

---

No. 8
# Tm5Hg4Pt

Tm5Hg4Pt after structural relaxation (PBE-GGA, Alexandria via LeMat-Bulk).

Cell and atoms, written as CIF:
```
data_Tm5Hg4Pt
_chemical_formula_sum 'Tm5 Hg4 Pt1'
_space_group_name_H-M_alt 'P 4/m m m'
_space_group_IT_number 123
_space_group_name_Hall '-P 4 2'
_cell_length_a 3.606
_cell_length_b 3.606
_cell_length_c 18.363
_cell_angle_alpha 90.00
_cell_angle_beta 90.00
_cell_angle_gamma 90.00
loop_
_atom_site_label
_atom_site_type_symbol
_atom_site_fract_x
_atom_site_fract_y
_atom_site_fract_z
_atom_site_occupancy
Tm1 Tm 0.000 0.000 0.000 1
Tm2 Tm 0.000 0.000 0.206 1
Tm3 Tm 0.000 0.000 0.412 1
Hg1 Hg 0.500 0.500 0.102 1
Hg2 Hg 0.500 0.500 0.305 1
Pt1 Pt 0.500 0.500 0.500 1
```

---

No. 9
# Tm8HgPt2

Tm8HgPt2 after structural relaxation (PBE-GGA, Alexandria via LeMat-Bulk).

Cell and atoms, written as CIF:
```
data_Tm8HgPt2
_chemical_formula_sum 'Tm16 Hg2 Pt4'
_space_group_name_H-M_alt 'C 1 2/m 1'
_space_group_IT_number 12
_space_group_name_Hall '-C 2y'
_cell_length_a 8.566
_cell_length_b 13.223
_cell_length_c 5.416
_cell_angle_alpha 90.00
_cell_angle_beta 105.30
_cell_angle_gamma 90.00
loop_
_atom_site_label
_atom_site_type_symbol
_atom_site_fract_x
_atom_site_fract_y
_atom_site_fract_z
_atom_site_occupancy
Tm1 Tm 0.000 0.239 0.000 1
Tm2 Tm 0.117 0.500 0.807 1
Tm3 Tm 0.205 0.127 0.586 1
Hg1 Hg 0.000 0.000 0.000 1
Pt1 Pt 0.000 0.305 0.500 1
```

---

No. 10
# Tm6HgPt

Tm6HgPt after structural relaxation (PBE-GGA, Alexandria via LeMat-Bulk).

Cell and atoms, written as CIF:
```
data_Tm6HgPt
_chemical_formula_sum 'Tm12 Hg2 Pt2'
_space_group_name_H-M_alt 'C 1 2/m 1'
_space_group_IT_number 12
_space_group_name_Hall '-C 2y'
_cell_length_a 6.831
_cell_length_b 11.331
_cell_length_c 6.737
_cell_angle_alpha 90.00
_cell_angle_beta 113.91
_cell_angle_gamma 90.00
loop_
_atom_site_label
_atom_site_type_symbol
_atom_site_fract_x
_atom_site_fract_y
_atom_site_fract_z
_atom_site_occupancy
Tm1 Tm 0.228 0.193 0.243 1
Tm2 Tm 0.236 0.000 0.765 1
Hg1 Hg 0.000 0.500 0.500 1
Pt1 Pt 0.000 0.000 0.000 1
```

---

No. 11
# Tm6Hg5Pt

Tm6Hg5Pt after structural relaxation (PBE-GGA, Alexandria via LeMat-Bulk).

Cell and atoms, written as CIF:
```
data_Tm6Hg5Pt
_chemical_formula_sum 'Tm6 Hg5 Pt1'
_space_group_name_H-M_alt 'P 1 2/m 1'
_space_group_IT_number 10
_space_group_name_Hall '-P 2y'
_cell_length_a 5.127
_cell_length_b 7.286
_cell_length_c 8.111
_cell_angle_alpha 90.00
_cell_angle_beta 108.28
_cell_angle_gamma 90.00
loop_
_atom_site_label
_atom_site_type_symbol
_atom_site_fract_x
_atom_site_fract_y
_atom_site_fract_z
_atom_site_occupancy
Tm1 Tm 0.000 0.234 0.000 1
Tm2 Tm 0.341 0.244 0.682 1
Hg1 Hg 0.169 0.500 0.338 1
Hg2 Hg 0.174 0.000 0.349 1
Hg3 Hg 0.500 0.500 0.000 1
Pt1 Pt 0.500 0.000 0.000 1
```

---

No. 12
# Tm8Hg2Pt

Tm8Hg2Pt after structural relaxation (PBE-GGA, Alexandria via LeMat-Bulk).

Cell and atoms, written as CIF:
```
data_Tm8Hg2Pt
_chemical_formula_sum 'Tm16 Hg4 Pt2'
_space_group_name_H-M_alt 'C 1 2/m 1'
_space_group_IT_number 12
_space_group_name_Hall '-C 2y'
_cell_length_a 17.653
_cell_length_b 5.101
_cell_length_c 6.739
_cell_angle_alpha 90.00
_cell_angle_beta 103.95
_cell_angle_gamma 90.00
loop_
_atom_site_label
_atom_site_type_symbol
_atom_site_fract_x
_atom_site_fract_y
_atom_site_fract_z
_atom_site_occupancy
Tm1 Tm 0.024 0.000 0.276 1
Tm2 Tm 0.089 0.500 0.937 1
Tm3 Tm 0.155 0.500 0.468 1
Tm4 Tm 0.204 0.000 0.818 1
Hg1 Hg 0.189 0.000 0.236 1
Pt1 Pt 0.000 0.500 0.500 1
```

---

Number 1: formation enthalpy at 0 K -823 kJ/mol of formula units, final energy -72.14 eV/cell. Number 2: formation enthalpy at 0 K -1322 kJ/mol of formula units, final energy -142.08 eV/cell. Number 3: formation enthalpy at 0 K -437 kJ/mol of formula units, final energy -24.59 eV/cell. Number 4: formation enthalpy at 0 K -591 kJ/mol of formula units, final energy -100.22 eV/cell. Number 5: formation enthalpy at 0 K -655 kJ/mol of formula units, final energy -33.19 eV/cell. Number 6: formation enthalpy at 0 K -830 kJ/mol of formula units, final energy -134.75 eV/cell. Number 7: formation enthalpy at 0 K -566 kJ/mol of formula units, final energy -63.93 eV/cell. Number 8: formation enthalpy at 0 K -621 kJ/mol of formula units, final energy -36.04 eV/cell. Number 9: formation enthalpy at 0 K -550 kJ/mol of formula units, final energy -107.72 eV/cell. Number 10: formation enthalpy at 0 K -189 kJ/mol of formula units, final energy -70.27 eV/cell. Number 11: formation enthalpy at 0 K -713 kJ/mol of formula units, final energy -41.76 eV/cell. Number 12: formation enthalpy at 0 K -431 kJ/mol of formula units, final energy -93.76 eV/cell.